(1)
A plane-wave DFT calculation with GGA-PBE was carried out for crystalline AcPmPrTh at its relaxed geometry.

The space group is P4mm (No. 99) and the conventional cell measures 3.707, 3.707 and 10.706 Å, with angles of 90.00, 90.00 and 90.00 degrees. The distinct sites, in fractional coordinates, are Ac at (0.000, 0.000, 0.000), Pm at (0.500, 0.500, 0.270), Pr at (0.500, 0.500, 0.724) and Th at (0.000, 0.000, 0.496).

The distance to the lowest polymorph of the same formula is 0.00 eV per formula unit. The formation energy is 0.045 eV/atom. Its crystal system is tetragonal. The value obtained for the density of states at the Fermi level is 4.73 states/eV/f.u. The magnetic moment comes out at 0.00 μB/f.u. The final energy is -5.220 eV per atom.



(2)
A plane-wave DFT calculation with GGA-PBE was carried out for crystalline CeTiNi2 at its relaxed geometry.

The space group is P4/mmm (No. 123) and the conventional cell measures 3.049, 3.049 and 6.965 Å, with angles of 90.00, 90.00 and 90.00 degrees. The distinct sites, in fractional coordinates, are Ce at (0.000, 0.000, 0.000), Ti at (0.000, 0.000, 0.500) and Ni at (0.500, 0.500, 0.307).

The distance to the lowest polymorph of the same formula is 0.00 eV per formula unit. The formation energy is -0.328 eV/atom. Its crystal system is tetragonal. The value obtained for the density of states at the Fermi level is 5.34 states/eV/f.u. The magnetic moment comes out at 0.00 μB/f.u. The final energy is -6.676 eV per atom.



(3)
A plane-wave DFT calculation with GGA-PBE was carried out for crystalline La4Pm3SmTe8 at its relaxed geometry.

The space group is R-3m (No. 166, hexagonal axes) and the conventional cell measures 9.0574, 9.0574 and 22.0869 Å, with angles of 90.00, 90.00 and 120.00 degrees. The distinct sites, in fractional coordinates, are La at (0.0000, 0.0000, 0.0000), La at (0.0000, 0.5000, 0.0000), Pm at (0.0000, 0.5000, 0.5000), Sm at (0.0000, 0.0000, 0.5000), Te at (0.0000, 0.0000, 0.2475) and Te at (0.0009, 0.5004, 0.2473).

Its crystal system is trigonal. The formation energy (no corrections) comes out at -1499 meV per atom. The value obtained for the density of states at the Fermi level is 12.68 states/eV/f.u. The magnetic moment comes out at 0.00 μB/f.u. The final energy is -5.488 eV per atom.